Entry from the Alexandria database: a geometry-optimized PmNi2TeO6 structure (PBE with a Hubbard U).

Calculated total energy ... -58.691 eV for the cell shown

abc: 5.481 5.480 5.709
angles: 61.31 61.31 59.99
Each line ends with the local moment (μB).
Fractional coordinates of all 10 atoms:
Pm (0.797, 0.797, 0.608)  0.02
O (0.711, 0.162, 0.760)  0.12
O (0.241, 0.904, 0.230)  0.24
Ni (0.014, 0.014, 0.959)  1.78
O (0.162, 0.366, 0.760)  0.12
Ni (0.524, 0.524, 0.429)  1.79
O (0.904, 0.625, 0.230)  0.24
O (0.625, 0.241, 0.229)  0.24
Te (0.317, 0.317, 0.050)  0.17
O (0.366, 0.711, 0.760)  0.12

Entry from the Alexandria database: a geometry-optimized Pm2NiTeO6 structure (PBE with a Hubbard U).

Calculated total energy ... -133.338 eV for the cell shown

abc: 5.593 5.904 8.153
angles: 90.00 88.59 90.00
Each line ends with the local moment (μB).
Fractional coordinates of all 20 atoms:
O (0.699, 0.305, 0.568)  0.03
O (0.313, 0.699, 0.064)  0.03
O (0.801, 0.805, 0.932)  0.03
O (0.627, 0.052, 0.245)  0.03
Pm (0.024, 0.934, 0.253)  0.00
O (0.687, 0.301, 0.936)  0.03
Pm (0.976, 0.066, 0.747)  0.00
Ni (0.000, 0.500, 0.500)  1.75
Ni (0.500, 0.000, 0.000)  1.75
O (0.127, 0.448, 0.745)  0.03
O (0.373, 0.948, 0.755)  0.03
Te (0.000, 0.500, 0.000)  0.03
Te (0.500, 0.000, 0.500)  0.03
O (0.813, 0.801, 0.564)  0.03
Pm (0.476, 0.434, 0.247)  0.00
O (0.187, 0.199, 0.436)  0.03
Pm (0.524, 0.566, 0.753)  0.00
O (0.301, 0.695, 0.432)  0.03
O (0.873, 0.552, 0.255)  0.03
O (0.199, 0.195, 0.068)  0.03

Entry from the Alexandria database: a geometry-optimized Pm2TlNiO6 structure (PBE with a Hubbard U).

Calculated total energy ... -128.682 eV for the cell shown

abc: 5.582 5.771 8.349
angles: 90.00 85.32 90.00
Each line ends with the local moment (μB).
Fractional coordinates of all 20 atoms:
O (0.324, 0.720, 0.064)  -0.05
O (0.772, 0.815, 0.925)  -0.06
Tl (0.500, 0.000, 0.500)  0.01
Tl (0.000, 0.500, 0.000)  0.01
O (0.871, 0.548, 0.254)  0.01
O (0.824, 0.780, 0.564)  -0.05
Pm (0.028, 0.935, 0.260)  0.00
Pm (0.528, 0.565, 0.760)  0.00
Pm (0.972, 0.065, 0.740)  0.00
O (0.129, 0.452, 0.746)  0.01
O (0.176, 0.220, 0.436)  -0.05
O (0.371, 0.952, 0.754)  0.01
O (0.728, 0.315, 0.575)  -0.06
Ni (0.000, 0.500, 0.500)  1.23
Pm (0.472, 0.435, 0.240)  0.00
Ni (0.500, 0.000, 0.000)  1.23
O (0.629, 0.048, 0.246)  0.01
O (0.676, 0.280, 0.936)  -0.05
O (0.228, 0.185, 0.075)  -0.06
O (0.272, 0.685, 0.425)  -0.06

Entry from the Alexandria database: a geometry-optimized PmUNiO6 structure (PBE with a Hubbard U).

Calculated total energy ... -140.071 eV for the cell shown

abc: 5.037 5.037 9.945
angles: 90.00 90.00 90.00
Each line ends with the local moment (μB).
Fractional coordinates of all 18 atoms:
U (0.000, 0.000, 0.666)  0.10
O (0.326, 0.326, 0.996)  0.15
O (0.826, 0.174, 0.496)  0.15
O (0.674, 0.674, 0.996)  0.15
O (0.802, 0.198, 0.814)  0.07
Pm (0.000, 0.000, 0.006)  0.02
O (0.198, 0.802, 0.814)  0.07
Ni (0.500, 0.500, 0.830)  2.08
O (0.802, 0.198, 0.189)  0.16
O (0.302, 0.302, 0.689)  0.16
O (0.698, 0.698, 0.689)  0.16
U (0.500, 0.500, 0.166)  0.10
Pm (0.500, 0.500, 0.506)  0.02
O (0.302, 0.302, 0.314)  0.07
O (0.698, 0.698, 0.314)  0.07
O (0.198, 0.802, 0.189)  0.16
O (0.174, 0.826, 0.496)  0.15
Ni (0.000, 0.000, 0.330)  2.08

Entry from the Alexandria database: a geometry-optimized PmNi2WO6 structure (PBE with a Hubbard U).

Calculated total energy ... -131.667 eV for the cell shown

abc: 5.504 5.602 7.949
angles: 90.00 89.91 90.00
Each line ends with the local moment (μB).
Fractional coordinates of all 20 atoms:
O (0.864, 0.634, 0.221)  0.06
O (0.367, 0.705, 0.393)  0.06
O (0.133, 0.205, 0.107)  0.06
O (0.673, 0.355, 0.963)  0.06
Pm (0.000, 0.500, 0.500)  -0.01
W (0.500, 0.000, 0.500)  -0.94
Ni (0.524, 0.480, 0.211)  1.75
O (0.173, 0.145, 0.463)  0.06
O (0.827, 0.855, 0.537)  0.06
W (0.000, 0.500, 0.000)  -0.94
Ni (0.024, 0.020, 0.711)  1.75
Pm (0.500, 0.000, 0.000)  -0.01
O (0.364, 0.866, 0.721)  0.06
O (0.636, 0.134, 0.279)  0.06
Ni (0.976, 0.980, 0.289)  1.75
O (0.327, 0.645, 0.037)  0.06
O (0.633, 0.295, 0.607)  0.06
O (0.867, 0.795, 0.893)  0.06
Ni (0.476, 0.520, 0.789)  1.75
O (0.136, 0.366, 0.779)  0.06

Entry from the Alexandria database: a geometry-optimized Pm2ZnNiO6 structure (PBE with a Hubbard U).

Calculated total energy ... -129.239 eV for the cell shown

abc: 5.396 5.573 7.676
angles: 90.00 90.22 90.00
Each line ends with the local moment (μB).
Fractional coordinates of all 20 atoms:
O (0.587, 0.023, 0.261)  -0.01
O (0.913, 0.523, 0.239)  -0.01
Pm (0.486, 0.442, 0.250)  0.00
O (0.193, 0.219, 0.048)  -0.01
O (0.283, 0.696, 0.045)  -0.01
Ni (0.500, 0.000, 0.500)  0.07
O (0.087, 0.477, 0.761)  -0.01
O (0.307, 0.719, 0.452)  -0.01
O (0.413, 0.977, 0.739)  -0.01
O (0.693, 0.281, 0.548)  -0.01
O (0.807, 0.781, 0.952)  -0.01
Zn (0.500, 0.000, 0.000)  -0.01
Zn (0.000, 0.500, 0.500)  -0.01
O (0.783, 0.804, 0.545)  -0.01
O (0.217, 0.196, 0.455)  -0.01
Pm (0.514, 0.558, 0.750)  0.00
Ni (0.000, 0.500, 0.000)  0.07
O (0.717, 0.304, 0.955)  -0.01
Pm (0.014, 0.942, 0.250)  0.00
Pm (0.986, 0.058, 0.750)  0.00

Entry from the Alexandria database: a geometry-optimized PrNiO3 structure (PBE with a Hubbard U).

Calculated total energy ... -130.661 eV for the cell shown

abc: 5.475 5.476 7.753
angles: 90.00 90.00 90.00
Each line ends with the local moment (μB).
Fractional coordinates of all 20 atoms:
O (0.217, 0.219, 0.459)  -0.11
Ni (0.500, 0.000, 0.500)  1.37
O (0.217, 0.219, 0.041)  -0.11
Ni (0.500, 0.000, 0.000)  1.37
O (0.990, 0.426, 0.750)  -0.10
O (0.283, 0.719, 0.959)  -0.11
Ni (0.000, 0.500, 0.500)  1.37
O (0.783, 0.781, 0.541)  -0.11
Pr (0.460, 0.491, 0.250)  0.01
O (0.490, 0.074, 0.750)  -0.10
O (0.783, 0.781, 0.959)  -0.11
Pr (0.960, 0.009, 0.250)  0.01
O (0.510, 0.926, 0.250)  -0.10
O (0.717, 0.281, 0.041)  -0.11
O (0.717, 0.281, 0.459)  -0.11
O (0.010, 0.574, 0.250)  -0.10
Ni (0.000, 0.500, 0.000)  1.37
Pr (0.540, 0.509, 0.750)  0.01
O (0.283, 0.719, 0.541)  -0.11
Pr (0.040, 0.991, 0.750)  0.01

Entry from the Alexandria database: a geometry-optimized Pr3NiO6 structure (PBE with a Hubbard U).

Calculated total energy ... -71.530 eV for the cell shown

abc: 5.826 5.817 5.817
angles: 59.18 64.07 64.07
Each line ends with the local moment (μB).
Fractional coordinates of all 10 atoms:
O (0.353, 0.186, 0.659)  0.13
Ni (0.500, 0.500, 0.500)  2.12
O (0.132, 0.735, 0.735)  0.11
Pr (0.290, 0.243, 0.243)  0.01
O (0.868, 0.265, 0.265)  0.11
O (0.353, 0.659, 0.186)  0.13
O (0.647, 0.814, 0.341)  0.13
Pr (0.710, 0.757, 0.757)  0.01
Pr (0.000, 0.000, 0.000)  0.03
O (0.647, 0.341, 0.814)  0.13